{
  "formula": "La2CdP3Rh4",
  "functional": "GGA-PBE",
  "state": "relaxed",
  "space_group": "P-4m2 (115)",
  "formation_energy_ev_per_atom": -0.929,
  "lattice": [[4.0732, 0.0000, 0.0000], [0.0000, 4.0732, 0.0000], [0.0000, 0.0000, 10.9111]],
  "species": ["La", "La", "Cd", "P", "P", "P", "Rh", "Rh", "Rh", "Rh"],
  "fractional_positions": [[0.0000, 0.5000, 0.2460], [0.5000, 0.0000, 0.7540], [0.0000, 0.0000, 0.5000], [0.0000, 0.5000, 0.8772], [0.5000, 0.0000, 0.1228], [0.5000, 0.5000, 0.5000], [0.0000, 0.0000, 0.0000], [0.0000, 0.5000, 0.6671], [0.5000, 0.0000, 0.3329], [0.5000, 0.5000, 0.0000]]
}

---

{
  "formula": "Na3Sr6Ca",
  "functional": "GGA-PBE",
  "state": "relaxed",
  "space_group": "P2_1/c (14)",
  "polymorph_energy_mev_per_atom": 22.3,
  "formation_energy_ev_per_atom": 0.044,
  "lattice": [[11.2933, 0.0000, 0.0000], [0.0000, 7.2649, 0.0000], [-7.0477, 0.0000, 11.9057]],
  "species": ["Na", "Na", "Na", "Na", "Na", "Na", "Sr", "Sr", "Sr", "Sr", "Sr", "Sr", "Sr", "Sr", "Sr", "Sr", "Sr", "Sr", "Ca", "Ca"],
  "fractional_positions": [[0.0000, 0.0000, 0.0000], [0.0000, 0.5000, 0.5000], [0.2652, 0.2021, 0.2131], [0.2652, 0.2979, 0.7131], [0.7348, 0.7021, 0.2869], [0.7348, 0.7979, 0.7869], [0.0702, 0.5124, 0.8644], [0.0702, 0.9876, 0.3644], [0.3055, 0.0195, 0.9632], [0.3055, 0.4805, 0.4632], [0.3563, 0.6880, 0.2130], [0.3563, 0.8120, 0.7130], [0.6437, 0.1880, 0.2870], [0.6437, 0.3120, 0.7870], [0.6945, 0.5195, 0.5368], [0.6945, 0.9805, 0.0368], [0.9298, 0.0124, 0.6356], [0.9298, 0.4876, 0.1356], [0.5000, 0.0000, 0.5000], [0.5000, 0.5000, 0.0000]]
}

---

{
  "formula": "Pr3Ho6Tm2",
  "functional": "GGA-PBE",
  "state": "relaxed",
  "space_group": "I4/mmm (139)",
  "polymorph_energy_mev_per_atom": 252.7,
  "formation_energy_ev_per_atom": 0.276,
  "lattice": [[-2.3775, 2.3775, 16.6001], [2.3775, -2.3775, 16.6001], [2.3775, 2.3775, -16.6001]],
  "species": ["Pr", "Pr", "Pr", "Ho", "Ho", "Ho", "Ho", "Ho", "Ho", "Tm", "Tm"],
  "fractional_positions": [[0.0000, 0.0000, 0.0000], [0.2047, 0.2047, 0.0000], [0.7953, 0.7953, 0.0000], [0.1196, 0.6196, 0.5000], [0.3089, 0.3089, 0.0000], [0.3804, 0.8804, 0.5000], [0.6196, 0.1196, 0.5000], [0.6911, 0.6911, 0.0000], [0.8804, 0.3804, 0.5000], [0.4538, 0.4538, 0.0000], [0.5462, 0.5462, 0.0000]]
}

---

{
  "formula": "YEr4Th",
  "functional": "GGA-PBE",
  "state": "relaxed",
  "space_group": "F-43m (216)",
  "polymorph_energy_mev_per_atom": 284.4,
  "formation_energy_ev_per_atom": 0.310,
  "lattice": [[0.0000, 4.5985, 4.5985], [4.5985, 0.0000, 4.5985], [4.5985, 4.5985, 0.0000]],
  "species": ["Y", "Er", "Er", "Er", "Er", "Th"],
  "fractional_positions": [[0.0000, 0.0000, 0.0000], [0.3753, 0.3753, 0.3753], [0.3753, 0.3753, 0.8741], [0.3753, 0.8741, 0.3753], [0.8741, 0.3753, 0.3753], [0.7500, 0.7500, 0.7500]]
}

---

{
  "formula": "CdP2Cl",
  "functional": "GGA-PBE",
  "state": "relaxed",
  "space_group": "Amm2 (38)",
  "polymorph_energy_mev_per_atom": 152.7,
  "e_form_raw_mev_per_atom": -68,
  "lattice": [[3.3843, 0.0000, 0.0000], [0.0000, 2.6746, 4.5949], [0.0000, -2.6746, 4.5949]],
  "species": ["Cd", "P", "P", "Cl"],
  "fractional_positions": [[0.0000, 0.0000, 0.0000], [0.0000, 0.5735, 0.5735], [0.5000, 0.7319, 0.7319], [0.5000, 0.2477, 0.2477]]
}

---

{
  "formula": "KRhIN2",
  "functional": "GGA-PBE",
  "state": "relaxed",
  "space_group": "P4/mmm (123)",
  "polymorph_energy_mev_per_atom": 0.0,
  "e_form_raw_mev_per_atom": 881,
  "lattice": [[4.1132, 0.0000, 0.0000], [0.0000, 4.1132, 0.0000], [0.0000, 0.0000, 5.8892]],
  "species": ["K", "Rh", "I", "N", "N"],
  "fractional_positions": [[0.0000, 0.0000, 0.0000], [0.5000, 0.5000, 0.5000], [0.5000, 0.5000, 0.0000], [0.0000, 0.5000, 0.5000], [0.5000, 0.0000, 0.5000]]
}

---

{
  "formula": "SiPbCl2",
  "functional": "GGA-PBE",
  "state": "relaxed",
  "space_group": "Imm2 (44)",
  "polymorph_energy_mev_per_atom": 238.4,
  "e_form_raw_mev_per_atom": -144,
  "lattice": [[-1.7483, 2.1987, 7.2967], [1.7483, -2.1987, 7.2967], [1.7483, 2.1987, -7.2967]],
  "species": ["Si", "Pb", "Cl", "Cl"],
  "fractional_positions": [[0.0000, 0.0000, 0.0000], [0.8220, 0.3220, 0.5000], [0.2466, 0.7466, 0.5000], [0.4968, 0.4968, 0.0000]]
}

---

{
  "formula": "CaPr5Tl4",
  "functional": "GGA-PBE",
  "state": "relaxed",
  "space_group": "Pmmn (59)",
  "polymorph_energy_mev_per_atom": 210.1,
  "formation_energy_ev_per_atom": -0.079,
  "lattice": [[8.5627, 0.0000, 0.0000], [0.0000, 9.4683, 0.0000], [0.0000, 0.0000, 8.8389]],
  "species": ["Ca", "Ca", "Pr", "Pr", "Pr", "Pr", "Pr", "Pr", "Pr", "Pr", "Pr", "Pr", "Tl", "Tl", "Tl", "Tl", "Tl", "Tl", "Tl", "Tl"],
  "fractional_positions": [[0.2500, 0.2500, 0.0847], [0.7500, 0.7500, 0.9153], [0.0084, 0.0510, 0.7341], [0.0084, 0.4490, 0.7341], [0.2500, 0.7500, 0.6574], [0.4916, 0.0510, 0.7341], [0.4916, 0.4490, 0.7341], [0.5084, 0.5510, 0.2659], [0.5084, 0.9490, 0.2659], [0.7500, 0.2500, 0.3426], [0.9916, 0.5510, 0.2659], [0.9916, 0.9490, 0.2659], [0.0845, 0.2500, 0.4417], [0.2500, 0.5869, 0.9952], [0.2500, 0.9131, 0.9952], [0.4155, 0.2500, 0.4417], [0.5845, 0.7500, 0.5583], [0.7500, 0.0869, 0.0048], [0.7500, 0.4131, 0.0048], [0.9155, 0.7500, 0.5583]]
}

---

{
  "formula": "LiPm2Pt",
  "functional": "GGA-PBE",
  "state": "relaxed",
  "space_group": "R3m (160)",
  "polymorph_energy_mev_per_atom": 92.6,
  "formation_energy_ev_per_atom": -0.457,
  "lattice": [[2.1280, 1.2286, 7.7662], [-2.1280, 1.2286, 7.7662], [0.0000, -2.4572, 7.7662]],
  "species": ["Li", "Pm", "Pm", "Pt"],
  "fractional_positions": [[0.0000, 0.0000, 0.0000], [0.2342, 0.2342, 0.2342], [0.4396, 0.4396, 0.4396], [0.8379, 0.8379, 0.8379]]
}

---

{
  "formula": "Ac9TlCo3",
  "functional": "GGA-PBE",
  "state": "relaxed",
  "space_group": "P2_1/m (11)",
  "formation_energy_ev_per_atom": -0.034,
  "lattice": [[7.3614, 0.0000, 0.0000], [0.0000, 11.1344, 0.0000], [-1.2170, 0.0000, 11.9803]],
  "species": ["Ac", "Ac", "Ac", "Ac", "Ac", "Ac", "Ac", "Ac", "Ac", "Ac", "Ac", "Ac", "Ac", "Ac", "Ac", "Ac", "Ac", "Ac", "Tl", "Tl", "Co", "Co", "Co", "Co", "Co", "Co"],
  "fractional_positions": [[0.0578, 0.2500, 0.1959], [0.1632, 0.5688, 0.3741], [0.1632, 0.9312, 0.3741], [0.1872, 0.2500, 0.8481], [0.2501, 0.5504, 0.0427], [0.2501, 0.9496, 0.0427], [0.3448, 0.5623, 0.6982], [0.3448, 0.9377, 0.6982], [0.3618, 0.2500, 0.5216], [0.6382, 0.7500, 0.4784], [0.6552, 0.0623, 0.3018], [0.6552, 0.4377, 0.3018], [0.7499, 0.0504, 0.9573], [0.7499, 0.4496, 0.9573], [0.8128, 0.7500, 0.1519], [0.8368, 0.0688, 0.6259], [0.8368, 0.4312, 0.6259], [0.9422, 0.7500, 0.8041], [0.4772, 0.2500, 0.0922], [0.5228, 0.7500, 0.9078], [0.0514, 0.0057, 0.8249], [0.0514, 0.4943, 0.8249], [0.5000, 0.0000, 0.5000], [0.5000, 0.5000, 0.5000], [0.9486, 0.5057, 0.1751], [0.9486, 0.9943, 0.1751]]
}

---

{
  "formula": "TaCr2Tc",
  "functional": "GGA-PBE",
  "state": "relaxed",
  "space_group": "Cmm2 (35)",
  "polymorph_energy_mev_per_atom": 127.4,
  "formation_energy_ev_per_atom": 0.069,
  "lattice": [[1.5237, -2.2108, 0.0000], [1.5237, 2.2108, 0.0000], [0.0000, 0.0000, 8.3808]],
  "species": ["Ta", "Cr", "Cr", "Tc"],
  "fractional_positions": [[0.0000, 0.0000, 0.0000], [0.0000, 0.0000, 0.4799], [0.5000, 0.5000, 0.2621], [0.5000, 0.5000, 0.7241]]
}

---

{
  "formula": "Cr2B4Rh",
  "functional": "GGA-PBE",
  "state": "relaxed",
  "space_group": "I4/mmm (139)",
  "formation_energy_ev_per_atom": 0.948,
  "lattice": [[-1.9534, 1.9534, 5.3084], [1.9534, -1.9534, 5.3084], [1.9534, 1.9534, -5.3084]],
  "species": ["Cr", "Cr", "B", "B", "B", "B", "Rh"],
  "fractional_positions": [[0.1146, 0.1146, 0.0000], [0.8854, 0.8854, 0.0000], [0.0000, 0.5000, 0.5000], [0.2999, 0.2999, 0.0000], [0.5000, 0.0000, 0.5000], [0.7001, 0.7001, 0.0000], [0.5000, 0.5000, 0.0000]]
}

---

{
  "formula": "KMo2P2",
  "functional": "GGA-PBE",
  "state": "relaxed",
  "space_group": "I4/mmm (139)",
  "formation_energy_ev_per_atom": 0.037,
  "lattice": [[-2.3508, 2.3508, 4.3410], [2.3508, -2.3508, 4.3410], [2.3508, 2.3508, -4.3410]],
  "species": ["K", "Mo", "Mo", "P", "P"],
  "fractional_positions": [[0.0000, 0.0000, 0.0000], [0.3698, 0.3698, 0.0000], [0.6302, 0.6302, 0.0000], [0.2500, 0.7500, 0.5000], [0.7500, 0.2500, 0.5000]]
}

---

{
  "formula": "FeReTe2",
  "functional": "GGA-PBE",
  "state": "relaxed",
  "space_group": "R-3m (166)",
  "polymorph_energy_mev_per_atom": 441.8,
  "e_form_raw_mev_per_atom": 591,
  "lattice": [[1.6468, 0.9508, 7.8507], [-1.6468, 0.9508, 7.8507], [0.0000, -1.9015, 7.8507]],
  "species": ["Fe", "Re", "Te", "Te"],
  "fractional_positions": [[0.0000, 0.0000, 0.0000], [0.5000, 0.5000, 0.5000], [0.2525, 0.2525, 0.2525], [0.7475, 0.7475, 0.7475]]
}

---

{
  "formula": "SrNd2Cu6",
  "functional": "GGA-PBE",
  "state": "relaxed",
  "space_group": "P6/mmm (191)",
  "formation_energy_ev_per_atom": -0.152,
  "lattice": [[7.4400, 0.0000, 0.0000], [-3.7200, 6.4432, 0.0000], [0.0000, 0.0000, 3.8831]],
  "species": ["Sr", "Nd", "Nd", "Cu", "Cu", "Cu", "Cu", "Cu", "Cu"],
  "fractional_positions": [[0.0000, 0.0000, 0.0000], [0.3333, 0.6667, 0.0000], [0.6667, 0.3333, 0.0000], [0.0000, 0.3365, 0.5000], [0.0000, 0.6635, 0.5000], [0.3365, 0.0000, 0.5000], [0.3365, 0.3365, 0.5000], [0.6635, 0.0000, 0.5000], [0.6635, 0.6635, 0.5000]]
}

---

{
  "formula": "TiFe4Pd",
  "functional": "GGA-PBE",
  "state": "relaxed",
  "space_group": "F-43m (216)",
  "formation_energy_ev_per_atom": -0.158,
  "lattice": [[0.0000, 3.3755, 3.3755], [3.3755, 0.0000, 3.3755], [3.3755, 3.3755, 0.0000]],
  "species": ["Ti", "Fe", "Fe", "Fe", "Fe", "Pd"],
  "fractional_positions": [[0.0000, 0.0000, 0.0000], [0.3742, 0.3742, 0.3742], [0.3742, 0.3742, 0.8773], [0.3742, 0.8773, 0.3742], [0.8773, 0.3742, 0.3742], [0.7500, 0.7500, 0.7500]]
}

---

{
  "formula": "Th5Tc4",
  "functional": "GGA-PBE",
  "state": "relaxed",
  "space_group": "C2/m (12)",
  "formation_energy_ev_per_atom": -0.106,
  "lattice": [[5.8078, -2.1170, 0.0000], [5.8078, 2.1170, 0.0000], [-3.3453, 0.0000, 8.9617]],
  "species": ["Th", "Th", "Th", "Th", "Th", "Tc", "Tc", "Tc", "Tc"],
  "fractional_positions": [[0.0000, 0.0000, 0.0000], [0.1072, 0.1072, 0.4019], [0.2361, 0.2361, 0.8222], [0.7639, 0.7639, 0.1778], [0.8928, 0.8928, 0.5981], [0.3778, 0.3778, 0.3796], [0.4769, 0.4769, 0.1713], [0.5231, 0.5231, 0.8287], [0.6222, 0.6222, 0.6204]]
}

---

{
  "formula": "ZnIrSe3",
  "functional": "GGA-PBE",
  "state": "relaxed",
  "space_group": "Pm-3m (221)",
  "polymorph_energy_mev_per_atom": 0.0,
  "e_form_raw_mev_per_atom": 548,
  "lattice": [[4.9416, 0.0000, 0.0000], [0.0000, 4.9416, 0.0000], [0.0000, 0.0000, 4.9416]],
  "species": ["Zn", "Ir", "Se", "Se", "Se"],
  "fractional_positions": [[0.0000, 0.0000, 0.0000], [0.5000, 0.5000, 0.5000], [0.0000, 0.5000, 0.5000], [0.5000, 0.0000, 0.5000], [0.5000, 0.5000, 0.0000]]
}

---

{
  "formula": "SbRh4",
  "functional": "GGA-PBE",
  "state": "relaxed",
  "space_group": "Pm-3m (221)",
  "polymorph_energy_mev_per_atom": 1446.1,
  "e_form_raw_mev_per_atom": 1285,
  "lattice": [[4.7730, 0.0000, 0.0000], [0.0000, 4.7730, 0.0000], [0.0000, 0.0000, 4.7730]],
  "species": ["Sb", "Rh", "Rh", "Rh", "Rh"],
  "fractional_positions": [[0.0000, 0.0000, 0.0000], [0.0000, 0.0000, 0.5000], [0.0000, 0.5000, 0.0000], [0.5000, 0.0000, 0.0000], [0.5000, 0.5000, 0.5000]]
}

---

{
  "formula": "NdHoZnHg",
  "functional": "GGA-PBE",
  "state": "relaxed",
  "space_group": "P4mm (99)",
  "polymorph_energy_mev_per_atom": 0.0,
  "formation_energy_ev_per_atom": -0.404,
  "lattice": [[3.6478, 0.0000, 0.0000], [0.0000, 3.6478, 0.0000], [0.0000, 0.0000, 7.5707]],
  "species": ["Nd", "Ho", "Zn", "Hg"],
  "fractional_positions": [[0.0000, 0.0000, 0.0000], [0.0000, 0.0000, 0.4666], [0.5000, 0.5000, 0.2503], [0.5000, 0.5000, 0.7128]]
}

---

Computed spin magnetization, in the same sequence as the records: 0.00; 0.00; 0.00; 2.17; 0.00; 0.00; 0.00; 0.00; 0.00; 0.00; 0.00; 2.61; 0.00; 1.74; 0.00; 7.74; 0.00; 0.00; 2.94; 0.00 μB/f.u..